(1)
Entry from the Alexandria database: an optimized crystal structure of LiGeSb2 (GGA-PBE).

a b c (Å): 6.526 6.526 11.295
angles (deg): 90.00 90.00 90.00
Space group I-42d (No. 122)
Unique sites:
Li 0.000 0.000 0.000 x4
Ge 0.000 0.000 0.500 x4
Sb 0.241 0.250 0.625 x8

Calculated values
For the energy relative to the elements, uncorrected, the calculation gives 21 meV per atom. For the calculated volume, the calculation gives 30.06 Å³ per atom. Its total energy is -58.76 eV for the cell shown.

***

(2)
Entry from the Alexandria database: an optimized crystal structure of Sr2InPb2 (GGA-PBE).

a b c (Å): 5.671 5.671 13.052
angles (deg): 90.00 90.00 90.00
Space group I4/mmm (No. 139)
Unique sites:
Sr 0.000 0.500 0.250 x4
In 0.000 0.000 0.000 x2
Pb 0.000 0.000 0.392 x4

Calculated values
For the calculated volume, the calculation gives 41.98 Å³ per atom. The offset from the most stable computed form is 412 meV/atom. The value obtained for the formation enthalpy at 0 K is -47.6 meV/atom. Its total energy is -27.51 eV for the cell shown.